# Pm4GaGe3 | Alexandria | PBE-GGA | relaxed
data_Pm4GaGe3
_space_group_name_H-M_alt 'P m m 2'
_space_group_IT_number 25
_cell_length_a 4.071
_cell_length_b 4.449
_cell_length_c 11.088
_cell_angle_alpha 90.00
_cell_angle_beta 90.00
_cell_angle_gamma 90.00
loop_
_space_group_symop_operation_xyz
'x,y,z'
'-x,-y,z'
'-x,y,z'
'x,-y,z'
loop_
_atom_site_label
_atom_site_fract_x
_atom_site_fract_y
_atom_site_fract_z
Pm1 0.000 0.000 0.000
Pm2 0.000 0.500 0.498
Pm3 0.500 0.000 0.277
Pm4 0.500 0.500 0.778
Ga1 0.500 0.000 0.562
Ge1 0.000 0.000 0.716
Ge2 0.000 0.500 0.218
Ge3 0.500 0.500 0.056
# ΔE_f = -6.5 eV per formula unit
# spin magnetization = 0.000 μB/atom